Material: SrAgSb2Ru
Method: DFT, PBE-GGA
State: relaxed

Output
Polymorph energy (0 for the lowest one): 0.0000 eV/atom
Formation energy (no corrections): 91 meV per atom

Cell lengths 5.071, 5.071, 5.772 Å; angles 90.00, 90.00, 90.00 degrees
Space group P4/mmm (No. 123)
Unique sites:
Sr 0.000 0.000 0.000 [1 per cell]
Ag 0.500 0.500 0.000 [1 per cell]
Sb 0.000 0.500 0.500 [2 per cell]
Ru 0.000 0.000 0.500 [1 per cell]


Material: AgSbTe2Ru
Method: DFT, PBE-GGA
State: relaxed

Output
Polymorph energy (0 for the lowest one): 0.0000 eV/atom
Formation energy (no corrections): 543 meV per atom

Cell lengths 5.340, 5.340, 4.984 Å; angles 90.00, 90.00, 90.00 degrees
Space group P4/mmm (No. 123)
Unique sites:
Ag 0.000 0.000 0.000 [1 per cell]
Sb 0.500 0.500 0.000 [1 per cell]
Te 0.000 0.500 0.500 [2 per cell]
Ru 0.500 0.500 0.500 [1 per cell]


Material: TiAgSbRu2
Method: DFT, PBE-GGA
State: relaxed

Output
Formation energy (no corrections): 899 meV per atom

Cell lengths 4.525, 4.525, 4.997 Å; angles 90.00, 90.00, 90.00 degrees
Space group P4/mmm (No. 123)
Unique sites:
Ti 0.000 0.000 0.000 [1 per cell]
Ag 0.000 0.000 0.500 [1 per cell]
Sb 0.500 0.500 0.500 [1 per cell]
Ru 0.000 0.500 0.000 [2 per cell]


Material: YAgSbRu2
Method: DFT, PBE-GGA
State: relaxed

Output
Formation energy (no corrections): 614 meV per atom

Cell lengths 4.874, 4.874, 4.943 Å; angles 90.00, 90.00, 90.00 degrees
Space group P4/mmm (No. 123)
Unique sites:
Y 0.000 0.000 0.000 [1 per cell]
Ag 0.500 0.500 0.000 [1 per cell]
Sb 0.500 0.500 0.500 [1 per cell]
Ru 0.000 0.500 0.500 [2 per cell]


Material: ScAgRu
Method: DFT, PBE-GGA
State: relaxed

Output
Formation energy from the elements: 355 meV per atom
Polymorph energy (0 for the lowest one): 0.4458 eV/atom

Cell lengths 6.259, 6.259, 6.259 Å; angles 90.00, 90.00, 90.00 degrees
Space group F-43m (No. 216)
Unique sites:
Sc 0.000 0.000 0.000 [4 per cell]
Ag 0.000 0.000 0.500 [4 per cell]
Ru 0.250 0.250 0.250 [4 per cell]


Material: ScAgRu
Method: DFT, PBE-GGA
State: relaxed

Output
Formation energy from the elements: 483 meV per atom
Polymorph energy (0 for the lowest one): 0.5741 eV/atom

Cell lengths 6.202, 6.202, 6.202 Å; angles 90.00, 90.00, 90.00 degrees
Space group F-43m (No. 216)
Unique sites:
Sc 0.000 0.000 0.000 [4 per cell]
Ag 0.250 0.250 0.250 [4 per cell]
Ru 0.250 0.250 0.750 [4 per cell]


Material: ScAg2Ru
Method: DFT, PBE-GGA
State: relaxed

Output
Formation energy from the elements: 206 meV per atom
Polymorph energy (0 for the lowest one): 0.3014 eV/atom

Cell lengths 3.804, 3.804, 20.496 Å; angles 90.00, 90.00, 90.00 degrees
Space group I-42d (No. 122)
Unique sites:
Sc 0.000 0.000 0.000 [4 per cell]
Ag 0.244 0.250 0.625 [8 per cell]
Ru 0.000 0.000 0.500 [4 per cell]


Material: ScAgRu
Method: DFT, PBE-GGA
State: relaxed

Output
Formation energy from the elements: 81 meV per atom
Polymorph energy (0 for the lowest one): 0.1722 eV/atom

Cell lengths 3.0498, 3.0498, 6.7076 Å; angles 90.00, 90.00, 120.00 degrees
Space group P3m1 (No. 156)
Unique sites:
Sc 0.0000 0.0000 0.0000 [1 per cell]
Ag 0.6667 0.3333 0.3693 [1 per cell]
Ru 0.3333 0.6667 0.7190 [1 per cell]


Material: ScAg2Ru
Method: DFT, PBE-GGA
State: relaxed

Output
Formation energy from the elements: 87 meV per atom
Polymorph energy (0 for the lowest one): 0.1817 eV/atom

Cell lengths 2.901, 4.952, 4.938 Å; angles 90.00, 98.91, 90.00 degrees
Space group P2/m (No. 10)
Unique sites:
Sc 0.000 0.000 0.000 [1 per cell]
Ag 0.273 0.500 0.742 [2 per cell]
Ru 0.500 0.000 0.500 [1 per cell]


Material: ScAg2Ru
Method: DFT, PBE-GGA
State: relaxed

Output
Formation energy from the elements: 122 meV per atom
Polymorph energy (0 for the lowest one): 0.2166 eV/atom

Cell lengths 6.545, 6.545, 6.545 Å; angles 90.00, 90.00, 90.00 degrees
Space group Fm-3m (No. 225)
Unique sites:
Sc 0.000 0.000 0.000 [4 per cell]
Ag 0.250 0.250 0.250 [8 per cell]
Ru 0.000 0.000 0.500 [4 per cell]


Material: ScAg2Ru
Method: DFT, PBE-GGA
State: relaxed

Output
Formation energy from the elements: 365 meV per atom
Polymorph energy (0 for the lowest one): 0.4605 eV/atom

Cell lengths 2.8957, 2.8957, 28.9641 Å; angles 90.00, 90.00, 120.00 degrees
Space group R-3m (No. 166, hexagonal axes)
Unique sites:
Sc 0.0000 0.0000 0.0000 [3 per cell]
Ag 0.0000 0.0000 0.2473 [6 per cell]
Ru 0.0000 0.0000 0.5000 [3 per cell]


Material: ScAg2Ru
Method: DFT, PBE-GGA
State: relaxed

Output
Formation energy from the elements: -5 meV per atom
Polymorph energy (0 for the lowest one): 0.0898 eV/atom

Cell lengths 4.159, 4.167, 7.970 Å; angles 90.00, 90.00, 90.00 degrees
Space group Imm2 (No. 44)
Unique sites:
Sc 0.000 0.000 0.000 [2 per cell]
Ag 0.000 0.000 0.499 [2 per cell]
Ag 0.000 0.500 0.250 [2 per cell]
Ru 0.000 0.500 0.749 [2 per cell]


Material: ScAg2Ru
Method: DFT, PBE-GGA
State: relaxed

Output
Formation energy from the elements: 55 meV per atom
Polymorph energy (0 for the lowest one): 0.1501 eV/atom

Cell lengths 3.334, 4.760, 8.993 Å; angles 90.00, 90.00, 90.00 degrees
Space group Cmm2 (No. 35)
Unique sites:
Sc 0.000 0.000 0.000 [2 per cell]
Ag 0.000 0.000 0.464 [2 per cell]
Ag 0.000 0.500 0.726 [2 per cell]
Ru 0.000 0.500 0.209 [2 per cell]


Material: ScAg2Ru
Method: DFT, PBE-GGA
State: relaxed

Output
Formation energy from the elements: 102 meV per atom
Polymorph energy (0 for the lowest one): 0.1972 eV/atom

Cell lengths 5.448, 8.117, 3.136 Å; angles 90.00, 90.00, 90.00 degrees
Space group Cmmm (No. 65)
Unique sites:
Sc 0.000 0.000 0.000 [2 per cell]
Ag 0.250 0.250 0.500 [4 per cell]
Ru 0.000 0.500 0.000 [2 per cell]


Material: ScAg2Ru
Method: DFT, PBE-GGA
State: relaxed

Output
Formation energy from the elements: -95 meV per atom
Polymorph energy (0 for the lowest one): 0.0000 eV/atom

Cell lengths 3.921, 3.921, 4.436 Å; angles 90.00, 90.00, 90.00 degrees
Space group P4/mmm (No. 123)
Unique sites:
Sc 0.000 0.000 0.000 [1 per cell]
Ag 0.000 0.500 0.500 [2 per cell]
Ru 0.500 0.500 0.000 [1 per cell]


Material: ScAgRu3
Method: DFT, PBE-GGA
State: relaxed

Output
Formation energy from the elements: 1799 meV per atom
Polymorph energy (0 for the lowest one): 0.2660 eV/atom

Cell lengths 4.785, 4.785, 4.785 Å; angles 90.00, 90.00, 90.00 degrees
Space group Pm-3m (No. 221)
Unique sites:
Sc 0.000 0.000 0.000 [1 per cell]
Ag 0.500 0.500 0.500 [1 per cell]
Ru 0.000 0.500 0.500 [3 per cell]


Material: ScAgRu3
Method: DFT, PBE-GGA
State: relaxed

Output
Formation energy from the elements: 1533 meV per atom
Polymorph energy (0 for the lowest one): 0.0000 eV/atom

Cell lengths 4.626, 4.626, 4.626 Å; angles 90.00, 90.00, 90.00 degrees
Space group Pm-3m (No. 221)
Unique sites:
Sc 0.000 0.000 0.000 [1 per cell]
Ag 0.500 0.500 0.500 [1 per cell]
Ru 0.000 0.000 0.500 [3 per cell]


Material: ScAgRu
Method: DFT, PBE-GGA
State: relaxed

Output
Formation energy from the elements: -91 meV per atom
Polymorph energy (0 for the lowest one): 0.0000 eV/atom

Cell lengths 3.316, 3.316, 9.553 Å; angles 90.00, 90.00, 90.00 degrees
Space group I4mm (No. 107)
Unique sites:
Sc 0.000 0.000 0.000 [2 per cell]
Ag 0.000 0.000 0.313 [2 per cell]
Ru 0.000 0.000 0.637 [2 per cell]


Material: ScAg2Ru
Method: DFT, PBE-GGA
State: relaxed

Output
Formation energy from the elements: -64 meV per atom
Polymorph energy (0 for the lowest one): 0.0315 eV/atom

Cell lengths 3.368, 3.368, 6.188 Å; angles 90.00, 90.00, 90.00 degrees
Space group P4mm (No. 99)
Unique sites:
Sc 0.000 0.000 0.000 [1 per cell]
Ag 0.000 0.000 0.469 [1 per cell]
Ag 0.500 0.500 0.713 [1 per cell]
Ru 0.500 0.500 0.209 [1 per cell]


Material: ScAgRu
Method: DFT, PBE-GGA
State: relaxed

Output
Formation energy from the elements: 24 meV per atom
Polymorph energy (0 for the lowest one): 0.1157 eV/atom

Cell lengths 4.5344, 4.5344, 2.8985 Å; angles 90.00, 90.00, 120.00 degrees
Space group P3m1 (No. 156)
Unique sites:
Sc 0.0000 0.0000 0.0000 [1 per cell]
Ag 0.3333 0.6667 0.3913 [1 per cell]
Ru 0.6667 0.3333 0.8022 [1 per cell]


Number 1: Fermi-level density of states 3.53 states/eV/f.u., DFT total energy -21.60 eV per cell. Number 2: Fermi-level density of states 6.70 states/eV/f.u., DFT total energy -19.82 eV per cell. Number 3: Fermi-level density of states 3.34 states/eV/f.u., DFT total energy -28.93 eV per cell. Number 4: Fermi-level density of states 2.46 states/eV/f.u., DFT total energy -28.92 eV per cell. Number 5: Fermi-level density of states 6.46 states/eV/f.u., DFT total energy -69.58 eV per cell. Number 6: Fermi-level density of states 2.63 states/eV/f.u., DFT total energy -68.04 eV per cell. Number 7: Fermi-level density of states 3.53 states/eV/f.u., DFT total energy -81.94 eV per cell. Number 8: Fermi-level density of states 1.40 states/eV/f.u., DFT total energy -18.22 eV per cell. Number 9: Fermi-level density of states 3.24 states/eV/f.u., DFT total energy -20.96 eV per cell. Number 10: Fermi-level density of states 2.64 states/eV/f.u., DFT total energy -83.30 eV per cell. Number 11: Fermi-level density of states 4.30 states/eV/f.u., DFT total energy -59.54 eV per cell. Number 12: Fermi-level density of states 4.25 states/eV/f.u., DFT total energy -42.66 eV per cell. Number 13: Fermi-level density of states 3.16 states/eV/f.u., DFT total energy -42.18 eV per cell. Number 14: Fermi-level density of states 3.67 states/eV/f.u., DFT total energy -41.80 eV per cell. Number 15: Fermi-level density of states 4.15 states/eV/f.u., DFT total energy -21.69 eV per cell. Number 16: Fermi-level density of states 8.11 states/eV/f.u., DFT total energy -28.01 eV per cell. Number 17: Fermi-level density of states 6.27 states/eV/f.u., DFT total energy -29.34 eV per cell. Number 18: Fermi-level density of states 2.18 states/eV/f.u., DFT total energy -37.47 eV per cell. Number 19: Fermi-level density of states 2.04 states/eV/f.u., DFT total energy -21.56 eV per cell. Number 20: Fermi-level density of states 2.10 states/eV/f.u., DFT total energy -18.39 eV per cell.